Record 1
11
Lattice="-1.522 -0.900 -2.806 -0.515 -5.736 2.118 -4.443 4.087 1.099" Properties=species:S:1:pos:R:3 comment="GGA-PBE TmNi6B4, optimized geometry" formation_enthalpy_0k_ev_per_atom=-0.36 total_magnetization_mub_per_cell=0.0 total_energy_ev_per_atom=-6.347 pbc="T T T"
B -3.134 0.813 1.439
Ni -4.410 1.651 -0.098
Ni -2.661 0.043 -0.530
Ni -2.347 -1.154 1.643
Tm 0.000 0.000 0.000
B -3.779 -2.602 0.923
B -2.086 -4.158 0.505
Ni -4.612 -0.606 0.735
Ni -0.573 -2.786 1.204
B -1.890 -1.974 -0.302
Ni -2.553 -3.445 2.489

Record 2
5
Lattice="3.968 0.000 0.000 0.000 3.968 0.000 1.984 1.984 5.122" Properties=species:S:1:pos:R:3 comment="GGA-PBE LaCo2Si2, optimized geometry" total_magnetization_mub_per_cell=0.0 total_energy_ev_per_atom=-6.729 pbc="T T T"
La 0.000 0.000 0.000
Co 3.968 1.984 2.561
Co 1.984 3.968 2.561
Si 1.984 1.984 1.411
Si 3.968 3.968 3.712

Record 3
9
Lattice="3.398 0.000 0.000 0.000 6.827 -3.942 0.000 0.000 7.883" Properties=species:S:1:pos:R:3 comment="GGA-PBE ErTm2Al6, optimized geometry" formation_enthalpy_0k_ev_per_atom=-0.48 total_magnetization_mub_per_cell=0.0 total_energy_ev_per_atom=-4.478 pbc="T T T"
Al 1.699 4.550 5.257
Al 1.699 2.278 -1.315
Al 1.699 0.000 2.630
Tm 0.000 2.276 3.942
Al 1.699 0.000 5.253
Al 1.699 4.550 2.627
Er 0.000 0.000 7.883
Tm 3.398 4.551 0.000
Al 1.699 2.278 1.315

Record 4
4
Lattice="-2.310 -0.406 -2.579 2.236 -2.086 -1.674 -3.038 -6.227 3.701" Properties=species:S:1:pos:R:3 comment="GGA-PBE CaNiPb2, optimized geometry" formation_enthalpy_0k_ev_per_atom=-0.06 total_magnetization_mub_per_cell=0.0 total_energy_ev_per_atom=-3.858 pbc="T T T"
Pb -1.665 -3.413 2.029
Pb -2.892 -5.928 3.523
Ca -0.797 -2.803 -1.201
Ni -2.316 -5.916 0.649

Record 5
4
Lattice="4.976 0.000 0.000 2.488 4.310 0.000 2.488 1.437 4.063" Properties=species:S:1:pos:R:3 comment="GGA-PBE YPaRuAu, optimized geometry" formation_enthalpy_0k_ev_per_atom=-0.35 total_magnetization_mub_per_cell=0.0 total_energy_ev_per_atom=-7.482 pbc="T T T"
Y 4.976 2.873 2.032
Au 2.488 1.437 1.016
Ru 7.464 4.310 3.047
Pa 0.000 0.000 0.000

Record 6
15
Lattice="7.792 0.000 0.000 -3.896 6.748 -0.023 0.000 -4.477 6.390" Properties=species:S:1:pos:R:3 comment="GGA-PBE Tb3YHo3S8, optimized geometry" total_magnetization_mub_per_cell=0.0 total_energy_ev_per_atom=-6.526 pbc="T T T"
Y 0.000 -2.238 3.195
S -1.928 3.379 4.761
S 0.000 0.039 4.772
Tb 0.000 0.000 0.000
Ho 1.948 1.136 3.184
S 1.928 3.379 4.761
S 1.967 -1.108 1.607
S 5.824 -1.108 1.607
Tb 1.948 3.374 -0.012
S 3.896 2.232 1.595
Tb -1.948 3.374 -0.012
Ho 3.896 -2.238 3.195
Ho -1.948 1.136 3.184
S 0.000 2.255 1.610
S 3.896 0.017 4.757

Record 7
5
Lattice="-2.335 -1.085 2.697 -0.011 -3.456 -1.400 4.253 -1.294 3.161" Properties=species:S:1:pos:R:3 comment="GGA-PBE PIrAuO2, optimized geometry" relative_energy_kj_per_mol_atoms=0.0 total_magnetization_mub_per_cell=0.0 total_energy_ev_per_atom=-5.618 pbc="T T T"
O -0.005 -1.728 -0.700
Ir 0.000 0.000 0.000
Au 0.954 -2.917 2.229
O -1.167 -0.543 1.348
P 2.126 -0.647 1.581

Record 8
20
Lattice="-0.407 3.677 0.117 -6.720 -0.950 6.496 6.484 0.503 6.781" Properties=species:S:1:pos:R:3 comment="GGA-PBE Y2Zn2Cu5Rh, optimized geometry" formation_enthalpy_0k_ev_per_atom=-0.12 total_magnetization_mub_per_cell=0.0 total_energy_ev_per_atom=-4.451 pbc="T T T"
Rh 0.000 0.000 0.000
Y 3.167 0.109 7.607
Cu -1.198 1.677 1.661
Cu 1.310 1.825 5.760
Cu -3.564 1.363 3.306
Cu -1.259 1.563 5.052
Zn 1.595 -0.141 9.996
Zn 3.214 0.200 4.927
Cu -5.327 1.033 7.561
Y -3.403 -0.557 5.670
Cu 0.554 1.552 11.733
Y -1.070 -0.434 9.939
Cu 4.683 2.196 5.833
Rh -0.118 -0.224 6.638
Y 0.833 -0.014 3.338
Cu -1.954 1.404 7.633
Cu 0.615 1.666 8.341
Cu 3.038 2.090 3.449
Zn -3.451 -0.647 8.350
Zn -1.832 -0.307 3.281